{"formula": "SrPaAs2", "functional": "GGA-PBE", "state": "relaxed", "lattice_angstrom": [[2.108, 1.217, 7.375], [-2.108, 1.217, 7.375], [0.000, -2.435, 7.375]], "species": ["Sr", "Pa", "As", "As"], "fractional_positions": [[0.000, 0.000, 0.000], [0.827, 0.827, 0.827], [0.234, 0.234, 0.234], [0.423, 0.423, 0.423]], "de_polymorph_mev_per_atom": 93.6, "mass_density_g_cm3": 6.85, "formation_enthalpy_0k_ev_per_atom": -1.04, "volume_a3_per_cell": 113.6}

---

{"formula": "SrPaAs2", "functional": "GGA-PBE", "state": "relaxed", "lattice_angstrom": [[2.123, 1.225, 7.126], [-2.123, 1.225, 7.126], [0.000, -2.451, 7.126]], "species": ["Sr", "Pa", "As", "As"], "fractional_positions": [[0.000, 0.000, 0.000], [0.500, 0.500, 0.500], [0.240, 0.240, 0.240], [0.760, 0.760, 0.760]], "de_polymorph_mev_per_atom": 0.0, "mass_density_g_cm3": 7.00, "formation_enthalpy_0k_ev_per_atom": -1.13, "volume_a3_per_cell": 111.2}

---

{"formula": "Sr5PaAs5", "functional": "GGA-PBE", "state": "relaxed", "lattice_angstrom": [[7.147, -3.064, 0.000], [7.147, 3.064, 0.000], [-2.788, 0.000, 8.317]], "species": ["Sr", "Sr", "Sr", "Sr", "Sr", "Pa", "As", "As", "As", "As", "As"], "fractional_positions": [[0.000, 0.000, 0.000], [0.311, 0.311, 0.177], [0.324, 0.324, 0.645], [0.676, 0.676, 0.355], [0.689, 0.689, 0.823], [0.000, 0.000, 0.500], [0.144, 0.144, 0.336], [0.154, 0.154, 0.814], [0.500, 0.500, 0.500], [0.846, 0.846, 0.186], [0.856, 0.856, 0.664]], "mass_density_g_cm3": 4.76, "formation_enthalpy_0k_ev_per_atom": -1.11, "volume_a3_per_cell": 364.3}

---

{"formula": "Sr2PaAs3", "functional": "GGA-PBE", "state": "relaxed", "lattice_angstrom": [[0.000, 6.160, 13.018], [4.359, 0.000, 13.018], [4.359, 6.160, 0.000]], "species": ["Sr", "Sr", "Sr", "Sr", "Sr", "Sr", "Sr", "Sr", "Pa", "Pa", "Pa", "Pa", "As", "As", "As", "As", "As", "As", "As", "As", "As", "As", "As", "As"], "fractional_positions": [[0.044, 0.044, 0.206], [0.122, 0.122, 0.628], [0.206, 0.206, 0.044], [0.372, 0.372, 0.878], [0.628, 0.628, 0.122], [0.794, 0.794, 0.956], [0.878, 0.878, 0.372], [0.956, 0.956, 0.794], [0.291, 0.291, 0.459], [0.459, 0.459, 0.291], [0.541, 0.541, 0.709], [0.709, 0.709, 0.541], [0.037, 0.534, 0.245], [0.157, 0.593, 0.593], [0.245, 0.684, 0.037], [0.316, 0.755, 0.466], [0.407, 0.843, 0.843], [0.466, 0.963, 0.316], [0.534, 0.037, 0.684], [0.593, 0.157, 0.157], [0.684, 0.245, 0.534], [0.755, 0.316, 0.963], [0.843, 0.407, 0.407], [0.963, 0.466, 0.755]], "mass_density_g_cm3": 6.00, "formation_enthalpy_0k_ev_per_atom": -1.20, "volume_a3_per_cell": 699.1}

---

{"formula": "Sr3Tb2PaAs6", "functional": "GGA-PBE", "state": "relaxed", "lattice_angstrom": [[3.698, -6.411, 0.000], [3.698, 6.411, 0.000], [-2.471, 0.000, 7.134]], "species": ["Sr", "Sr", "Sr", "Tb", "Tb", "Pa", "As", "As", "As", "As", "As", "As"], "fractional_positions": [[0.000, 0.000, 0.000], [0.331, 0.669, 0.000], [0.669, 0.331, 0.000], [0.166, 0.834, 0.500], [0.834, 0.166, 0.500], [0.500, 0.500, 0.500], [0.102, 0.427, 0.280], [0.249, 0.249, 0.721], [0.427, 0.102, 0.280], [0.573, 0.898, 0.720], [0.751, 0.751, 0.279], [0.898, 0.573, 0.720]], "mass_density_g_cm3": 6.19, "formation_enthalpy_0k_ev_per_atom": -1.25, "volume_a3_per_cell": 338.2}

---

{"formula": "SrTbPa2As4", "functional": "GGA-PBE", "state": "relaxed", "lattice_angstrom": [[-2.949, 2.949, 5.930], [2.949, -2.949, 5.930], [2.949, 2.949, -5.930]], "species": ["Sr", "Tb", "Pa", "Pa", "As", "As", "As", "As"], "fractional_positions": [[0.000, 0.000, 0.000], [0.250, 0.750, 0.500], [0.500, 0.500, 0.000], [0.750, 0.250, 0.500], [0.259, 0.259, 0.000], [0.504, 0.004, 0.500], [0.741, 0.741, 0.000], [0.996, 0.496, 0.500]], "mass_density_g_cm3": 8.12, "formation_enthalpy_0k_ev_per_atom": -1.16, "volume_a3_per_cell": 206.3}

---

{"formula": "Sr4TbPa3As8", "functional": "GGA-PBE", "state": "relaxed", "lattice_angstrom": [[4.255, 2.457, 7.123], [-4.255, 2.457, 7.123], [0.000, -4.913, 7.123]], "species": ["Sr", "Sr", "Sr", "Sr", "Tb", "Pa", "Pa", "Pa", "As", "As", "As", "As", "As", "As", "As", "As"], "fractional_positions": [[0.000, 0.000, 0.000], [0.000, 0.500, 0.500], [0.500, 0.000, 0.500], [0.500, 0.500, 0.000], [0.500, 0.500, 0.500], [0.000, 0.000, 0.500], [0.000, 0.500, 0.000], [0.500, 0.000, 0.000], [0.233, 0.743, 0.743], [0.239, 0.239, 0.239], [0.257, 0.257, 0.767], [0.257, 0.767, 0.257], [0.743, 0.233, 0.743], [0.743, 0.743, 0.233], [0.761, 0.761, 0.761], [0.767, 0.257, 0.257]], "mass_density_g_cm3": 6.70, "formation_enthalpy_0k_ev_per_atom": -1.21, "volume_a3_per_cell": 446.7}

---

{"formula": "Sr2ThPaAs4", "functional": "GGA-PBE", "state": "relaxed", "lattice_angstrom": [[7.453, 0.000, 0.000], [0.000, 4.306, 0.000], [-2.483, 0.000, 7.153]], "species": ["Sr", "Sr", "Th", "Pa", "As", "As", "As", "As"], "fractional_positions": [[0.000, 0.000, 0.000], [0.500, 0.500, 0.000], [0.000, 0.500, 0.500], [0.500, 0.000, 0.500], [0.251, 0.000, 0.724], [0.268, 0.500, 0.280], [0.732, 0.500, 0.720], [0.749, 0.000, 0.276]], "mass_density_g_cm3": 6.79, "formation_enthalpy_0k_ev_per_atom": -1.25, "volume_a3_per_cell": 229.5}

---

{"formula": "Sr4Th3PaAs8", "functional": "GGA-PBE", "state": "relaxed", "lattice_angstrom": [[4.334, 2.502, 7.173], [-4.334, 2.502, 7.173], [0.000, -5.004, 7.173]], "species": ["Sr", "Sr", "Sr", "Sr", "Th", "Th", "Th", "Pa", "As", "As", "As", "As", "As", "As", "As", "As"], "fractional_positions": [[0.000, 0.000, 0.000], [0.000, 0.500, 0.500], [0.500, 0.000, 0.500], [0.500, 0.500, 0.000], [0.000, 0.000, 0.500], [0.000, 0.500, 0.000], [0.500, 0.000, 0.000], [0.500, 0.500, 0.500], [0.243, 0.243, 0.243], [0.251, 0.736, 0.736], [0.264, 0.264, 0.749], [0.264, 0.749, 0.264], [0.736, 0.251, 0.736], [0.736, 0.736, 0.251], [0.749, 0.264, 0.264], [0.757, 0.757, 0.757]], "mass_density_g_cm3": 6.68, "formation_enthalpy_0k_ev_per_atom": -1.31, "volume_a3_per_cell": 466.7}

---

{"formula": "Sr3ThPa2As6", "functional": "GGA-PBE", "state": "relaxed", "lattice_angstrom": [[3.708, -6.423, 0.000], [3.708, 6.423, 0.000], [-2.474, 0.000, 7.139]], "species": ["Sr", "Sr", "Sr", "Th", "Pa", "Pa", "As", "As", "As", "As", "As", "As"], "fractional_positions": [[0.000, 0.000, 0.000], [0.335, 0.665, 0.000], [0.665, 0.335, 0.000], [0.500, 0.500, 0.500], [0.167, 0.833, 0.500], [0.833, 0.167, 0.500], [0.083, 0.426, 0.279], [0.231, 0.231, 0.721], [0.426, 0.083, 0.279], [0.574, 0.917, 0.721], [0.769, 0.769, 0.279], [0.917, 0.574, 0.721]], "mass_density_g_cm3": 6.87, "formation_enthalpy_0k_ev_per_atom": -1.21, "volume_a3_per_cell": 340.1}

---

{"formula": "Sr3Pa3TiAs8", "functional": "GGA-PBE", "state": "relaxed", "lattice_angstrom": [[4.139, 2.390, 7.200], [-4.139, 2.390, 7.200], [0.000, -4.780, 7.200]], "species": ["Sr", "Sr", "Sr", "Pa", "Pa", "Pa", "Ti", "As", "As", "As", "As", "As", "As", "As", "As"], "fractional_positions": [[0.000, 0.500, 0.500], [0.500, 0.000, 0.500], [0.500, 0.500, 0.000], [0.000, 0.000, 0.500], [0.000, 0.500, 0.000], [0.500, 0.000, 0.000], [0.500, 0.500, 0.500], [0.241, 0.241, 0.241], [0.247, 0.728, 0.728], [0.272, 0.272, 0.753], [0.272, 0.753, 0.272], [0.728, 0.247, 0.728], [0.728, 0.728, 0.247], [0.753, 0.272, 0.272], [0.759, 0.759, 0.759]], "mass_density_g_cm3": 6.23, "formation_enthalpy_0k_ev_per_atom": -0.96, "volume_a3_per_cell": 427.4}

---

{"formula": "Sr3Pa2TiAs6", "functional": "GGA-PBE", "state": "relaxed", "lattice_angstrom": [[3.591, -6.222, 0.000], [3.591, 6.222, 0.000], [-2.402, 0.000, 7.103]], "species": ["Sr", "Sr", "Sr", "Pa", "Pa", "Ti", "As", "As", "As", "As", "As", "As"], "fractional_positions": [[0.000, 0.000, 0.000], [0.331, 0.669, 0.000], [0.669, 0.331, 0.000], [0.166, 0.834, 0.500], [0.834, 0.166, 0.500], [0.500, 0.500, 0.500], [0.107, 0.430, 0.288], [0.249, 0.249, 0.714], [0.430, 0.107, 0.288], [0.570, 0.893, 0.712], [0.751, 0.751, 0.286], [0.893, 0.570, 0.712]], "mass_density_g_cm3": 6.40, "formation_enthalpy_0k_ev_per_atom": -1.07, "volume_a3_per_cell": 317.4}

---

{"formula": "Sr2TmPaAs4", "functional": "GGA-PBE", "state": "relaxed", "lattice_angstrom": [[7.292, 0.000, 0.000], [0.000, 4.273, 0.000], [-2.448, 0.000, 7.127]], "species": ["Sr", "Sr", "Tm", "Pa", "As", "As", "As", "As"], "fractional_positions": [[0.000, 0.000, 0.000], [0.500, 0.500, 0.000], [0.000, 0.500, 0.500], [0.500, 0.000, 0.500], [0.246, 0.000, 0.718], [0.266, 0.500, 0.283], [0.734, 0.500, 0.717], [0.754, 0.000, 0.282]], "mass_density_g_cm3": 6.54, "formation_enthalpy_0k_ev_per_atom": -1.26, "volume_a3_per_cell": 222.0}

---

{"formula": "Sr3Tm2PaAs6", "functional": "GGA-PBE", "state": "relaxed", "lattice_angstrom": [[3.665, -6.354, 0.000], [3.665, 6.354, 0.000], [-2.446, 0.000, 7.129]], "species": ["Sr", "Sr", "Sr", "Tm", "Tm", "Pa", "As", "As", "As", "As", "As", "As"], "fractional_positions": [[0.000, 0.000, 0.000], [0.332, 0.668, 0.000], [0.668, 0.332, 0.000], [0.167, 0.833, 0.500], [0.833, 0.167, 0.500], [0.500, 0.500, 0.500], [0.099, 0.427, 0.282], [0.244, 0.244, 0.718], [0.427, 0.099, 0.282], [0.573, 0.901, 0.718], [0.756, 0.756, 0.282], [0.901, 0.573, 0.718]], "mass_density_g_cm3": 6.41, "formation_enthalpy_0k_ev_per_atom": -1.24, "volume_a3_per_cell": 332.0}

---

{"formula": "Sr3TmPa3As8", "functional": "GGA-PBE", "state": "relaxed", "lattice_angstrom": [[4.210, 2.430, 7.149], [-4.210, 2.430, 7.149], [0.000, -4.861, 7.149]], "species": ["Sr", "Sr", "Sr", "Tm", "Pa", "Pa", "Pa", "As", "As", "As", "As", "As", "As", "As", "As"], "fractional_positions": [[0.000, 0.500, 0.500], [0.500, 0.000, 0.500], [0.500, 0.500, 0.000], [0.500, 0.500, 0.500], [0.000, 0.000, 0.500], [0.000, 0.500, 0.000], [0.500, 0.000, 0.000], [0.227, 0.743, 0.743], [0.240, 0.240, 0.240], [0.257, 0.257, 0.773], [0.257, 0.773, 0.257], [0.743, 0.227, 0.743], [0.743, 0.743, 0.227], [0.760, 0.760, 0.760], [0.773, 0.257, 0.257]], "mass_density_g_cm3": 6.52, "formation_enthalpy_0k_ev_per_atom": -1.07, "volume_a3_per_cell": 438.9}

---

{"formula": "Sr2UPaAs4", "functional": "GGA-PBE", "state": "relaxed", "lattice_angstrom": [[7.350, 0.000, 0.000], [0.000, 4.250, 0.000], [-2.459, 0.000, 7.139]], "species": ["Sr", "Sr", "U", "Pa", "As", "As", "As", "As"], "fractional_positions": [[0.000, 0.000, 0.000], [0.500, 0.500, 0.000], [0.000, 0.500, 0.500], [0.500, 0.000, 0.500], [0.241, 0.000, 0.718], [0.263, 0.500, 0.282], [0.737, 0.500, 0.718], [0.759, 0.000, 0.282]], "mass_density_g_cm3": 7.03, "formation_enthalpy_0k_ev_per_atom": -1.05, "volume_a3_per_cell": 223.0}

---

{"formula": "Sr3UPa3As8", "functional": "GGA-PBE", "state": "relaxed", "lattice_angstrom": [[4.223, 2.438, 7.165], [-4.223, 2.438, 7.165], [0.000, -4.876, 7.165]], "species": ["Sr", "Sr", "Sr", "U", "Pa", "Pa", "Pa", "As", "As", "As", "As", "As", "As", "As", "As"], "fractional_positions": [[0.000, 0.500, 0.500], [0.500, 0.000, 0.500], [0.500, 0.500, 0.000], [0.500, 0.500, 0.500], [0.000, 0.000, 0.500], [0.000, 0.500, 0.000], [0.500, 0.000, 0.000], [0.234, 0.738, 0.738], [0.240, 0.240, 0.240], [0.262, 0.262, 0.766], [0.262, 0.766, 0.262], [0.738, 0.234, 0.738], [0.738, 0.738, 0.234], [0.760, 0.760, 0.760], [0.766, 0.262, 0.262]], "mass_density_g_cm3": 6.73, "formation_enthalpy_0k_ev_per_atom": -0.96, "volume_a3_per_cell": 442.5}

---

{"formula": "Sr3UPa2As6", "functional": "GGA-PBE", "state": "relaxed", "lattice_angstrom": [[3.679, -6.372, 0.000], [3.679, 6.372, 0.000], [-2.452, 0.000, 7.139]], "species": ["Sr", "Sr", "Sr", "U", "Pa", "Pa", "As", "As", "As", "As", "As", "As"], "fractional_positions": [[0.000, 0.000, 0.000], [0.334, 0.666, 0.000], [0.666, 0.334, 0.000], [0.500, 0.500, 0.500], [0.167, 0.833, 0.500], [0.833, 0.167, 0.500], [0.091, 0.427, 0.282], [0.237, 0.237, 0.719], [0.427, 0.091, 0.282], [0.573, 0.909, 0.718], [0.763, 0.763, 0.281], [0.909, 0.573, 0.718]], "mass_density_g_cm3": 7.01, "formation_enthalpy_0k_ev_per_atom": -1.08, "volume_a3_per_cell": 334.7}

---

{"formula": "Sr4YPa3As8", "functional": "GGA-PBE", "state": "relaxed", "lattice_angstrom": [[4.252, 2.455, 7.124], [-4.252, 2.455, 7.124], [0.000, -4.909, 7.124]], "species": ["Sr", "Sr", "Sr", "Sr", "Y", "Pa", "Pa", "Pa", "As", "As", "As", "As", "As", "As", "As", "As"], "fractional_positions": [[0.000, 0.000, 0.000], [0.000, 0.500, 0.500], [0.500, 0.000, 0.500], [0.500, 0.500, 0.000], [0.500, 0.500, 0.500], [0.000, 0.000, 0.500], [0.000, 0.500, 0.000], [0.500, 0.000, 0.000], [0.233, 0.743, 0.743], [0.239, 0.239, 0.239], [0.257, 0.257, 0.767], [0.257, 0.767, 0.257], [0.743, 0.233, 0.743], [0.743, 0.743, 0.233], [0.761, 0.761, 0.761], [0.767, 0.257, 0.257]], "mass_density_g_cm3": 6.45, "formation_enthalpy_0k_ev_per_atom": -1.21, "volume_a3_per_cell": 446.1}

---

{"formula": "SrYPa2As4", "functional": "GGA-PBE", "state": "relaxed", "lattice_angstrom": [[-2.947, 2.947, 5.926], [2.947, -2.947, 5.926], [2.947, 2.947, -5.926]], "species": ["Sr", "Y", "Pa", "Pa", "As", "As", "As", "As"], "fractional_positions": [[0.000, 0.000, 0.000], [0.250, 0.750, 0.500], [0.500, 0.500, 0.000], [0.750, 0.250, 0.500], [0.259, 0.259, 0.000], [0.504, 0.004, 0.500], [0.741, 0.741, 0.000], [0.996, 0.496, 0.500]], "mass_density_g_cm3": 7.57, "formation_enthalpy_0k_ev_per_atom": -1.17, "volume_a3_per_cell": 205.9}

---

{"formula": "Sr2ZrPaAs4", "functional": "GGA-PBE", "state": "relaxed", "lattice_angstrom": [[7.140, 0.000, 0.000], [0.000, 4.165, 0.000], [-2.386, 0.000, 7.112]], "species": ["Sr", "Sr", "Zr", "Pa", "As", "As", "As", "As"], "fractional_positions": [[0.000, 0.000, 0.000], [0.500, 0.500, 0.000], [0.000, 0.500, 0.500], [0.500, 0.000, 0.500], [0.234, 0.000, 0.715], [0.256, 0.500, 0.283], [0.744, 0.500, 0.717], [0.766, 0.000, 0.285]], "mass_density_g_cm3": 6.26, "formation_enthalpy_0k_ev_per_atom": -1.16, "volume_a3_per_cell": 211.5}